Sc2GaI: optimized geometry, PBE.

The structure in POSCAR format:
```
Sc2GaI
1.0
-4.3452 -0.6165 4.3555
-2.8810 -4.2276 -3.4725
0.0640 -7.3662 3.4100
I Ga Sc
2 2 4
Direct
0.7500 0.2500 0.5000
0.0000 0.0000 0.0000
0.5000 0.5000 0.0000
0.2500 0.7500 0.5000
0.8750 0.8178 0.7500
0.3750 0.4322 0.7500
0.5678 0.1250 0.2500
0.1822 0.6250 0.2500
```

Volume: 32.7 Å³/atom
Size of the total moment: 0.00 μB/atom
E_form (uncorrected): -0.23 eV per formula unit